Computed, not measured: RuPtRhF2 after structural relaxation at the GGA-PBE level of DFT.

* energy relative to the elements, uncorrected: 0.107 eV/atom

Lattice parameters (Å, degrees): 3.908 3.908 5.414 90.00 90.00 90.00
Space group P4/mmm (No. 123)
Inequivalent atoms, fractional coordinates:
Ru1 0.000 0.000 0.000 (multiplicity 1)
Pt1 0.500 0.500 0.000 (multiplicity 1)
Rh1 0.500 0.500 0.500 (multiplicity 1)
F1 0.000 0.500 0.500 (multiplicity 2)

Computed, not measured: Ru2PtRhF after structural relaxation at the GGA-PBE level of DFT.

* energy relative to the elements, uncorrected: 1.344 eV/atom

Lattice parameters (Å, degrees): 4.930 4.930 3.883 90.00 90.00 90.00
Space group P4/mmm (No. 123)
Inequivalent atoms, fractional coordinates:
Ru1 0.000 0.500 0.000 (multiplicity 2)
Pt1 0.000 0.000 0.000 (multiplicity 1)
Rh1 0.500 0.500 0.500 (multiplicity 1)
F1 0.000 0.000 0.500 (multiplicity 1)

Computed, not measured: TiPt2RhF after structural relaxation at the GGA-PBE level of DFT.

* energy relative to the elements, uncorrected: -0.291 eV/atom

Lattice parameters (Å, degrees): 4.786 4.786 3.700 90.00 90.00 90.00
Space group P4/mmm (No. 123)
Inequivalent atoms, fractional coordinates:
Ti1 0.000 0.000 0.000 (multiplicity 1)
Pt1 0.000 0.500 0.000 (multiplicity 2)
Rh1 0.500 0.500 0.500 (multiplicity 1)
F1 0.000 0.000 0.500 (multiplicity 1)

Computed, not measured: RuPt3F after structural relaxation at the GGA-PBE level of DFT.

* energy above the lowest structure with this stoichiometry: 0.0 meV/atom
* energy relative to the elements, uncorrected: 1.037 eV/atom

Lattice parameters (Å, degrees): 4.344 4.344 4.344 90.00 90.00 90.00
Space group Pm-3m (No. 221)
Inequivalent atoms, fractional coordinates:
Ru1 0.000 0.000 0.000 (multiplicity 1)
Pt1 0.000 0.500 0.500 (multiplicity 3)
F1 0.500 0.500 0.500 (multiplicity 1)

Computed, not measured: RuPt2F after structural relaxation at the GGA-PBE level of DFT.

* energy above the lowest structure with this stoichiometry: 0.0 meV/atom
* energy relative to the elements, uncorrected: 0.218 eV/atom

Lattice parameters (Å, degrees): 6.113 6.113 6.113 90.00 90.00 90.00
Space group Fm-3m (No. 225)
Inequivalent atoms, fractional coordinates:
Ru1 0.000 0.000 0.000 (multiplicity 4)
Pt1 0.250 0.250 0.250 (multiplicity 8)
F1 0.000 0.000 0.500 (multiplicity 4)

Computed, not measured: RuPtF2 after structural relaxation at the GGA-PBE level of DFT.

* energy above the lowest structure with this stoichiometry: 613.8 meV/atom
* energy relative to the elements, uncorrected: 0.248 eV/atom

Lattice parameters (Å, degrees): 5.961 5.961 5.961 90.00 90.00 90.00
Space group Fm-3m (No. 225)
Inequivalent atoms, fractional coordinates:
Ru1 0.000 0.000 0.000 (multiplicity 4)
Pt1 0.000 0.000 0.500 (multiplicity 4)
F1 0.250 0.250 0.250 (multiplicity 8)

Computed, not measured: RuPtF2 after structural relaxation at the GGA-PBE level of DFT.

* energy above the lowest structure with this stoichiometry: 378.1 meV/atom
* energy relative to the elements, uncorrected: 0.012 eV/atom

Lattice parameters (Å, degrees): 7.155 7.155 4.859 90.00 90.00 90.00
Space group I-42d (No. 122)
Inequivalent atoms, fractional coordinates:
Ru1 0.000 0.000 0.000 (multiplicity 4)
Pt1 0.000 0.000 0.500 (multiplicity 4)
F1 0.133 0.750 0.125 (multiplicity 8)

Computed, not measured: RuPt3F after structural relaxation at the GGA-PBE level of DFT.

* energy above the lowest structure with this stoichiometry: 221.4 meV/atom
* energy relative to the elements, uncorrected: 1.259 eV/atom

Lattice parameters (Å, degrees): 4.780 4.780 4.780 90.00 90.00 90.00
Space group Pm-3m (No. 221)
Inequivalent atoms, fractional coordinates:
Ru1 0.000 0.000 0.000 (multiplicity 1)
Pt1 0.000 0.000 0.500 (multiplicity 3)
F1 0.500 0.500 0.500 (multiplicity 1)

Computed, not measured: RuPt2F after structural relaxation at the GGA-PBE level of DFT.

* energy above the lowest structure with this stoichiometry: 139.6 meV/atom
* energy relative to the elements, uncorrected: 0.358 eV/atom

Lattice parameters (Å, degrees): 6.790 6.790 5.383 90.00 90.00 90.00
Space group I-42d (No. 122)
Inequivalent atoms, fractional coordinates:
Ru1 0.000 0.000 0.000 (multiplicity 4)
Pt1 0.239 0.250 0.625 (multiplicity 8)
F1 0.000 0.000 0.500 (multiplicity 4)

Computed, not measured: RuPtF6 after structural relaxation at the GGA-PBE level of DFT.

* energy relative to the elements, uncorrected: -1.329 eV/atom

Lattice parameters (Å, degrees): 4.9941 4.9941 4.7825 90.00 90.00 120.00
Space group P312 (No. 149)
Inequivalent atoms, fractional coordinates:
Ru1 0.0000 0.0000 0.0000 (multiplicity 1)
Pt1 0.3333 0.6667 0.5000 (multiplicity 1)
F1 0.3323 0.0157 0.2407 (multiplicity 6)

Computed, not measured: RuPtF2 after structural relaxation at the GGA-PBE level of DFT.

* energy above the lowest structure with this stoichiometry: 0.0 meV/atom
* energy relative to the elements, uncorrected: -0.366 eV/atom

Lattice parameters (Å, degrees): 2.7412 2.7412 23.8813 90.00 90.00 120.00
Space group R-3m (No. 166, hexagonal axes)
Inequivalent atoms, fractional coordinates:
Ru1 0.0000 0.0000 0.0000 (multiplicity 3)
Pt1 0.0000 0.0000 0.5000 (multiplicity 3)
F1 0.0000 0.0000 0.4143 (multiplicity 6)